A plane-wave DFT calculation with PBE was carried out for a relaxed structure of Ta2SiCl.

Summary:
density of states at the Fermi level	3.2	states/eV/cell
ΔE_f (raw)	0.2616	eV/atom
excess energy over the best structure of this formula in the dataset	353.0	meV per atom
M_tot	0.0	μB/cell

a = 2.8278 Å, b = 4.4565 Å, c = 5.5927 Å
α = 90.00°, β = 90.00°, γ = 90.00°
Space group Pmmm (No. 47)
Unique sites:
Ta 0.0000 0.0000 0.0000
Ta 0.5000 0.0000 0.5000
Si 0.0000 0.5000 0.5000
Cl 0.5000 0.5000 0.0000